Computed, not measured: a relaxed CuBiF6 crystal at the PBE level of DFT.

Structure (POSCAR):
```
CuBiF6
1.0
4.989 0.204 -0.773
-2.446 4.353 -0.773
0.174 0.311 5.189
F Cu Bi
6 1 1
Direct
0.240 0.240 0.706
0.457 0.152 0.261
0.760 0.760 0.294
0.848 0.543 0.739
0.543 0.848 0.739
0.152 0.457 0.261
0.500 0.500 0.500
0.000 0.000 0.000
```

Output
Calculated density = 5456 kg/m³
Formation energy without anion corrections = -1843 meV per atom
E_tot = -4.2435 eV/atom



Computed, not measured: a relaxed MgTcSn2P crystal at the PBE level of DFT.

Structure (POSCAR):
```
MgTcSn2P
1.0
5.226 0.000 0.000
0.000 4.574 0.000
0.000 0.000 5.226
Sn P Mg Tc
2 1 1 1
Direct
0.500 0.000 0.000
0.000 0.000 0.500
0.000 0.000 0.000
0.000 0.500 0.000
0.500 0.500 0.500
```

Output
Calculated density = 5192 kg/m³
E_tot = -4.1905 eV/atom
Formation energy = 885 meV/atom



Computed, not measured: a relaxed HgAsBr2 crystal at the PBE level of DFT.

Structure (POSCAR):
```
HgAsBr2
1.0
-4.061 -0.972 -3.224
-2.206 -1.248 4.627
-1.140 3.464 0.391
Br Hg As
2 1 1
Direct
0.000 0.000 0.000
0.500 0.500 0.000
0.500 0.000 0.500
0.000 0.500 0.500
```

Output
Calculated density = 7188 kg/m³
Formation energy without anion corrections = 384 meV per atom
E_tot = -1.6906 eV/atom



Computed, not measured: a relaxed ThScSb crystal at the PBE level of DFT.

Structure (POSCAR):
```
ThScSb
1.0
-3.509 -0.435 1.967
1.082 -2.783 5.477
-0.078 5.375 5.210
Th Sb Sc
2 2 2
Direct
0.078 0.180 0.664
0.922 0.820 0.336
0.341 0.619 0.698
0.659 0.381 0.302
0.349 0.251 0.051
0.651 0.749 0.949
```

Output
Calculated density = 7891 kg/m³
Formation energy without anion corrections = -619 meV per atom
E_tot = -6.5766 eV/atom



Computed, not measured: a relaxed CaMg2Cd2In crystal at the PBE level of DFT.

Structure (POSCAR):
```
CaMg2Cd2In
1.0
5.080 0.000 0.000
-2.540 4.400 0.000
0.000 0.000 6.531
In Ca Cd Mg
1 1 2 2
Direct
0.000 0.000 0.500
0.000 0.000 0.000
0.333 0.667 0.205
0.667 0.333 0.795
0.333 0.667 0.691
0.667 0.333 0.309
```

Output
Calculated density = 4872 kg/m³
E_tot = -1.8406 eV/atom
Formation energy = -214 meV/atom



Computed, not measured: a relaxed Mg7CuPt4 crystal at the PBE level of DFT.

Structure (POSCAR):
```
Mg7CuPt4
1.0
4.665 1.239 0.437
3.195 6.390 2.119
-1.281 -0.037 8.064
Pt Mg Cu
4 7 1
Direct
0.133 0.138 0.246
0.341 0.381 0.757
0.659 0.619 0.243
0.867 0.862 0.754
0.615 0.731 0.540
0.015 0.170 0.662
0.985 0.830 0.338
0.321 0.450 0.100
0.385 0.269 0.460
0.500 0.000 0.000
0.679 0.550 0.900
0.000 0.000 0.000
```

Output
Calculated density = 8057 kg/m³
E_tot = -3.8584 eV/atom
Formation energy = -573 meV/atom



Computed, not measured: a relaxed Ce4ZrSb5 crystal at the PBE level of DFT.

Structure (POSCAR):
```
Ce4ZrSb5
1.0
4.431 0.000 0.000
0.000 4.431 0.000
-2.215 -2.215 15.575
Sb Ce Zr
5 4 1
Direct
0.500 0.500 0.000
0.905 0.905 0.810
0.095 0.095 0.190
0.700 0.700 0.400
0.300 0.300 0.600
0.802 0.802 0.604
0.598 0.598 0.197
0.198 0.198 0.396
0.402 0.402 0.803
0.000 0.000 0.000
```

Output
Calculated density = 6846 kg/m³
Formation energy without anion corrections = -917 meV per atom
E_tot = -6.2062 eV/atom



Computed, not measured: a relaxed Zr2AlAgMo crystal at the PBE level of DFT.

Structure (POSCAR):
```
Zr2AlAgMo
1.0
5.065 0.000 0.000
0.000 4.923 0.000
0.000 0.000 5.065
Mo Zr Ag Al
1 2 1 1
Direct
0.000 0.500 0.000
0.000 0.000 0.500
0.500 0.000 0.000
0.000 0.000 0.000
0.500 0.500 0.500
```

Output
Calculated density = 5433 kg/m³
E_tot = -5.6045 eV/atom
Formation energy = 1300 meV/atom



So what do the calculations give for DOS at the Fermi energy? Going down the list: 1.53, 4.61, 2.93, 3.53, 1.96, 4.19, 27.66, 4.66 states/eV/f.u..
So what do the calculations give for magnetization? Going down the list: 1.86, 2.80, 0.00, 0.00, 0.00, 0.00, 3.43, 1.91 Bohr magnetons per cell.